(1)
The following is a PBE calculation of a geometry-optimized CaTi3B structure, from the Alexandria database.

Values from the calculation:
Calculated density (g/cm3): 3.7
DOS at the Fermi energy (states/eV/f.u.): 7.31
Volume (Å³/atom): 17.5
M_tot (μB/atom): 0.290

```
CaTi3B
1.0
4.4420 0.0000 0.0000
0.0000 4.4420 0.0000
0.0000 0.0000 4.4420
Ca Ti B
1 3 1
direct
0.0000 0.0000 0.0000
0.0000 0.0000 0.5000
0.0000 0.5000 0.0000
0.5000 0.0000 0.0000
0.5000 0.5000 0.5000
```

---

(2)
The following is a PBE calculation of a geometry-optimized CaTi3B structure, from the Alexandria database.

Values from the calculation:
Calculated density (g/cm3): 3.5
DOS at the Fermi energy (states/eV/f.u.): 6.85
Volume (Å³/atom): 18.5
M_tot (μB/atom): 0.371

```
CaTi3B
1.0
4.5209 0.0000 0.0000
0.0000 4.5209 0.0000
0.0000 0.0000 4.5209
Ca Ti B
1 3 1
direct
0.0000 0.0000 0.0000
0.0000 0.5000 0.5000
0.5000 0.0000 0.5000
0.5000 0.5000 0.0000
0.5000 0.5000 0.5000
```

---

(2) comes first in stability; the runner-up is 214.6 kJ/mol of atoms higher.

---

(1)
The following is a PBE calculation of a geometry-optimized CaTl2B structure, from the Alexandria database.

Values from the calculation:
Calculated density (g/cm3): 8.0
DOS at the Fermi energy (states/eV/f.u.): 3.54
Volume (Å³/atom): 23.9
M_tot (μB/atom): 0.000

```
CaTl2B
1.0
-4.0874 4.0874 2.8589
4.0874 -4.0874 2.8589
4.0874 4.0874 -2.8589
Ca Tl B
2 4 2
direct
0.0000 0.0000 0.0000
0.7500 0.2500 0.5000
0.2177 0.6250 0.0927
0.3750 0.4677 0.5927
0.5323 0.1250 0.9073
0.8750 0.7823 0.4073
0.2500 0.7500 0.5000
0.5000 0.5000 0.0000
```

---

(2)
The following is a PBE calculation of a geometry-optimized CaTl2B structure, from the Alexandria database.

Values from the calculation:
Calculated density (g/cm3): 8.1
DOS at the Fermi energy (states/eV/f.u.): 3.44
Volume (Å³/atom): 23.7
M_tot (μB/atom): 0.000

```
CaTl2B
1.0
0.0000 3.6177 3.6177
3.6177 0.0000 3.6177
3.6177 3.6177 0.0000
Ca Tl B
1 2 1
direct
0.0000 0.0000 0.0000
0.2500 0.2500 0.2500
0.7500 0.7500 0.7500
0.5000 0.5000 0.5000
```

---

(1) comes first in stability; the runner-up is 31.1 kJ/mol of atoms higher.

---

(1)
The following is a PBE calculation of a geometry-optimized Ca2TlB structure, from the Alexandria database.

Values from the calculation:
Calculated density (g/cm3): 5.2
DOS at the Fermi energy (states/eV/f.u.): 0.81
Volume (Å³/atom): 23.7
M_tot (μB/atom): 0.000

```
Ca2TlB
1.0
0.0000 3.6200 3.6200
3.6200 0.0000 3.6200
3.6200 3.6200 0.0000
Ca Tl B
2 1 1
direct
0.2500 0.2500 0.2500
0.7500 0.7500 0.7500
0.0000 0.0000 0.0000
0.5000 0.5000 0.5000
```

---

(2)
The following is a PBE calculation of a geometry-optimized Ca2TlB structure, from the Alexandria database.

Values from the calculation:
Calculated density (g/cm3): 4.5
DOS at the Fermi energy (states/eV/f.u.): 2.78
Volume (Å³/atom): 27.2
M_tot (μB/atom): 0.000

```
Ca2TlB
1.0
-3.9824 3.9824 3.4293
3.9824 -3.9824 3.4293
3.9824 3.9824 -3.4293
Ca Tl B
4 2 2
direct
0.0561 0.6250 0.9311
0.3750 0.3061 0.4311
0.6939 0.1250 0.0689
0.8750 0.9439 0.5689
0.2500 0.7500 0.5000
0.5000 0.5000 0.0000
0.0000 0.0000 0.0000
0.7500 0.2500 0.5000
```

---

(1) comes first in stability; the runner-up is 10.8 kJ/mol of atoms higher.

---

(1)
The following is a PBE calculation of a geometry-optimized CaTl3B structure, from the Alexandria database.

Values from the calculation:
Calculated density (g/cm3): 8.4
DOS at the Fermi energy (states/eV/f.u.): 3.64
Volume (Å³/atom): 26.3
M_tot (μB/atom): 0.000

```
CaTl3B
1.0
5.0861 0.0000 0.0000
0.0000 5.0861 0.0000
0.0000 0.0000 5.0861
Ca Tl B
1 3 1
direct
0.0000 0.0000 0.0000
0.0000 0.5000 0.5000
0.5000 0.0000 0.5000
0.5000 0.5000 0.0000
0.5000 0.5000 0.5000
```

---

(2)
The following is a PBE calculation of a geometry-optimized CaTl3B structure, from the Alexandria database.

Values from the calculation:
Calculated density (g/cm3): 5.3
DOS at the Fermi energy (states/eV/f.u.): 3.94
Volume (Å³/atom): 41.9
M_tot (μB/atom): 0.000

```
CaTl3B
1.0
5.9414 0.0000 0.0000
0.0000 5.9414 0.0000
0.0000 0.0000 5.9414
Ca Tl B
1 3 1
direct
0.0000 0.0000 0.0000
0.0000 0.0000 0.5000
0.0000 0.5000 0.0000
0.5000 0.0000 0.0000
0.5000 0.5000 0.5000
```

---

(1) comes first in stability; the runner-up is 91.0 kJ/mol of atoms higher.

---

(1)
The following is a PBE calculation of a geometry-optimized CaVB2 structure, from the Alexandria database.

Values from the calculation:
Calculated density (g/cm3): 3.6
DOS at the Fermi energy (states/eV/f.u.): 3.18
Volume (Å³/atom): 12.9
M_tot (μB/atom): 0.453

```
CaVB2
1.0
0.0000 2.9551 2.9551
2.9551 0.0000 2.9551
2.9551 2.9551 0.0000
Ca V B
1 1 2
direct
0.0000 0.0000 0.0000
0.5000 0.5000 0.5000
0.2500 0.2500 0.2500
0.7500 0.7500 0.7500
```

---

(2)
The following is a PBE calculation of a geometry-optimized CaVB2 structure, from the Alexandria database.

Values from the calculation:
Calculated density (g/cm3): 2.9
DOS at the Fermi energy (states/eV/f.u.): 3.22
Volume (Å³/atom): 16.1
M_tot (μB/atom): 0.467

```
CaVB2
1.0
-2.0919 2.0919 7.3540
2.0919 -2.0919 7.3540
2.0919 2.0919 -7.3540
Ca V B
2 2 4
direct
0.3750 0.6250 0.7500
0.6250 0.3750 0.2500
0.1250 0.8750 0.2500
0.8750 0.1250 0.7500
0.0000 0.0000 0.0000
0.0000 0.0000 0.5000
0.0000 0.5000 0.0000
0.5000 0.0000 0.5000
```

---

(2) comes first in stability; the runner-up is 15.1 kJ/mol of atoms higher.

---

(1)
The following is a PBE calculation of a geometry-optimized CaV3B structure, from the Alexandria database.

Values from the calculation:
Calculated density (g/cm3): 4.3
DOS at the Fermi energy (states/eV/f.u.): 6.43
Volume (Å³/atom): 15.6
M_tot (μB/atom): 0.000

```
CaV3B
1.0
4.2724 0.0000 0.0000
0.0000 4.2724 0.0000
0.0000 0.0000 4.2724
Ca V B
1 3 1
direct
0.0000 0.0000 0.0000
0.0000 0.5000 0.5000
0.5000 0.0000 0.5000
0.5000 0.5000 0.0000
0.5000 0.5000 0.5000
```

---

(2)
The following is a PBE calculation of a geometry-optimized CaV3B structure, from the Alexandria database.

Values from the calculation:
Calculated density (g/cm3): 4.5
DOS at the Fermi energy (states/eV/f.u.): 5.81
Volume (Å³/atom): 15.1
M_tot (μB/atom): 0.000

```
CaV3B
1.0
4.2232 0.0000 0.0000
0.0000 4.2232 0.0000
0.0000 0.0000 4.2232
Ca V B
1 3 1
direct
0.0000 0.0000 0.0000
0.0000 0.0000 0.5000
0.0000 0.5000 0.0000
0.5000 0.0000 0.0000
0.5000 0.5000 0.5000
```

---

(1) comes first in stability; the runner-up is 228.1 kJ/mol of atoms higher.